(1)
## BaAlCd4In2 (GGA-PBE)

Data for crystalline BaAlCd4In2 at its relaxed geometry.

## Properties
space group = R-3m
ΔE_f = -82.1 meV/atom
total magnetic moment = 0.0 μB per cell

a = 5.009 Å, b = 5.009 Å, c = 10.421 Å
α = 76.09°, β = 76.09°, γ = 60.00°
Element x y z (fractional)
Ba (0.000, 0.000, 0.000)
Al (0.500, 0.500, 0.500)
Cd (0.403, 0.403, 0.790)
Cd (0.864, 0.864, 0.408)
Cd (0.136, 0.136, 0.592)
Cd (0.597, 0.597, 0.210)
In (0.753, 0.753, 0.741)
In (0.247, 0.247, 0.259)

***

(2)
## NbPCCl2 (GGA-PBE)

Data for crystalline NbPCCl2 at its relaxed geometry.

## Properties
space group = P4/mmm
energy above the most stable polymorph in this dataset = 82.0 meV per atom
formation energy (no corrections) = 1.2029 eV per atom
total magnetic moment = 1.6 μB per cell

a = 4.247 Å, b = 4.247 Å, c = 4.217 Å
α = 90.00°, β = 90.00°, γ = 90.00°
Element x y z (fractional)
P (0.000, 0.000, 0.500)
Nb (0.500, 0.500, 0.500)
C (0.000, 0.000, 0.000)
Cl (0.000, 0.500, 0.000)
Cl (0.500, 0.000, 0.000)

***

(3)
## NiHgSb2 (GGA-PBE)

Data for crystalline NiHgSb2 at its relaxed geometry.

## Properties
space group = Immm
formation energy (no corrections) = 0.0715 eV per atom
total magnetic moment = 0.0 μB per cell

a = 6.714 Å, b = 6.714 Å, c = 6.714 Å
α = 152.19°, β = 139.84°, γ = 49.56°
Element x y z (fractional)
Hg (0.750, 0.250, 0.500)
Ni (0.250, 0.750, 0.500)
Sb (0.078, 0.078, 0.000)
Sb (0.422, 0.422, 0.000)

***

(4)
## MnSb2AsI (GGA-PBE)

Data for crystalline MnSb2AsI at its relaxed geometry.

## Properties
space group = P4/mmm
energy above the most stable polymorph in this dataset = 0.0 meV per atom
formation energy (no corrections) = 0.5685 eV per atom
total magnetic moment = 3.7 μB per cell

a = 5.648 Å, b = 4.704 Å, c = 5.648 Å
α = 90.00°, β = 90.00°, γ = 90.00°
Element x y z (fractional)
I (0.500, 0.500, 0.500)
Sb (0.000, 0.000, 0.500)
Sb (0.500, 0.000, 0.000)
As (0.000, 0.000, 0.000)
Mn (0.000, 0.500, 0.000)